The following is a DFT calculation (PBE-GGA) of crystalline CdB2Pd8 at its relaxed geometry.

energy of formation from the pure elements	-0.170	eV/atom
volume	14.34	Å³/atom
energy	-0.38539	Ry per atom

a b c (Å): 7.190 10.426 4.321
angles (deg): 90.00 103.18 90.00
Space group C2/m (No. 12)
Asymmetric unit:
Cd1 0.000 0.000 0.000 [2 per cell]
B1 0.000 0.322 0.500 [4 per cell]
Pd1 0.000 0.261 0.000 [4 per cell]
Pd2 0.108 0.500 0.791 [4 per cell]
Pd3 0.197 0.135 0.586 [8 per cell]

=====

The following is a DFT calculation (PBE-GGA) of crystalline Cd5B2Pd12 at its relaxed geometry.

energy of formation from the pure elements	-0.206	eV/atom
volume	17.13	Å³/atom
energy	-0.32555	Ry per atom

a b c (Å): 14.746 5.950 7.871
angles (deg): 90.00 109.49 90.00
Space group C2/m (No. 12)
Asymmetric unit:
Cd1 0.000 0.000 0.000 [2 per cell]
Cd2 0.247 0.000 0.001 [4 per cell]
Cd3 0.249 0.500 0.505 [4 per cell]
B1 0.000 0.262 0.500 [4 per cell]
Pd1 0.032 0.500 0.331 [4 per cell]
Pd2 0.044 0.000 0.362 [4 per cell]
Pd3 0.140 0.251 0.688 [8 per cell]
Pd4 0.154 0.260 0.187 [8 per cell]

=====

The following is a DFT calculation (PBE-GGA) of crystalline CdB3Pd at its relaxed geometry.

energy of formation from the pure elements	1.379	eV/atom
volume	14.60	Å³/atom
energy	-0.28287	Ry per atom
ΔE to the lowest computed polymorph	0	meV/atom

a b c (Å): 4.179 4.179 4.179
angles (deg): 90.00 90.00 90.00
Space group Pm-3m (No. 221)
Asymmetric unit:
Cd1 0.000 0.000 0.000 [1 per cell]
B1 0.000 0.500 0.500 [3 per cell]
Pd1 0.500 0.500 0.500 [1 per cell]

=====

The following is a DFT calculation (PBE-GGA) of crystalline Cd2BPd2 at its relaxed geometry.

energy of formation from the pure elements	-0.101	eV/atom
volume	16.18	Å³/atom
energy	-0.28514	Ry per atom

a b c (Å): 5.786 5.786 4.834
angles (deg): 90.00 90.00 90.00
Space group P4/mbm (No. 127)
Asymmetric unit:
Cd1 0.169 0.331 0.000 [4 per cell]
B1 0.000 0.000 0.500 [2 per cell]
Pd1 0.171 0.671 0.500 [4 per cell]

=====

The following is a DFT calculation (PBE-GGA) of crystalline Pr2CdBPd6 at its relaxed geometry.

energy of formation from the pure elements	-0.620	eV/atom
volume	19.14	Å³/atom
energy	-0.40063	Ry per atom

a b c (Å): 5.8342 5.8342 6.4931
angles (deg): 90.00 90.00 120.00
Space group P-3m1 (No. 164)
Asymmetric unit:
Pr1 0.3333 0.6667 0.3094 [2 per cell]
Cd1 0.0000 0.0000 0.5000 [1 per cell]
B1 0.0000 0.0000 0.0000 [1 per cell]
Pd1 0.1768 0.3535 0.8211 [6 per cell]

=====

The following is a DFT calculation (PBE-GGA) of crystalline CdB2Pd5Pt2 at its relaxed geometry.

energy of formation from the pure elements	-0.170	eV/atom
volume	14.39	Å³/atom
energy	-0.39700	Ry per atom

a b c (Å): 10.112 10.112 2.814
angles (deg): 90.00 90.00 90.00
Space group P4/mbm (No. 127)
Asymmetric unit:
Cd1 0.000 0.000 0.000 [2 per cell]
B1 0.130 0.370 0.000 [4 per cell]
Pd1 0.000 0.500 0.500 [2 per cell]
Pd2 0.019 0.237 0.500 [8 per cell]
Pt1 0.226 0.726 0.000 [4 per cell]

=====

The following is a DFT calculation (PBE-GGA) of crystalline Cd2BPd2Pt4 at its relaxed geometry.

energy of formation from the pure elements	-0.385	eV/atom
volume	15.64	Å³/atom
energy	-0.37991	Ry per atom

a b c (Å): 5.765 5.765 8.471
angles (deg): 90.00 90.00 90.00
Space group I4/mmm (No. 139)
Asymmetric unit:
Cd1 0.000 0.500 0.250 [4 per cell]
B1 0.000 0.000 0.000 [2 per cell]
Pd1 0.000 0.000 0.255 [4 per cell]
Pt1 0.243 0.243 0.500 [8 per cell]

=====

The following is a DFT calculation (PBE-GGA) of crystalline Cd2BPd3Pt3 at its relaxed geometry.

energy of formation from the pure elements	-0.230	eV/atom
volume	15.52	Å³/atom
energy	-0.36159	Ry per atom

a b c (Å): 7.4830 7.4830 2.8810
angles (deg): 90.00 90.00 120.00
Space group P-62m (No. 189)
Asymmetric unit:
Cd1 0.3333 0.6667 0.0000 [2 per cell]
B1 0.0000 0.0000 0.5000 [1 per cell]
Pd1 0.0000 0.6169 0.5000 [3 per cell]
Pt1 0.0000 0.2279 0.0000 [3 per cell]

=====

The following is a DFT calculation (PBE-GGA) of crystalline CdBPdRh2 at its relaxed geometry.

energy of formation from the pure elements	-0.242	eV/atom
volume	14.51	Å³/atom
energy	-0.42182	Ry per atom

a b c (Å): 4.150 4.150 4.213
angles (deg): 90.00 90.00 90.00
Space group P4/mmm (No. 123)
Asymmetric unit:
Cd1 0.000 0.000 0.000 [1 per cell]
B1 0.500 0.500 0.500 [1 per cell]
Pd1 0.500 0.500 0.000 [1 per cell]
Rh1 0.000 0.500 0.500 [2 per cell]

=====

The following is a DFT calculation (PBE-GGA) of crystalline CdBPd2Rh at its relaxed geometry.

energy of formation from the pure elements	-0.325	eV/atom
volume	14.72	Å³/atom
energy	-0.39624	Ry per atom

a b c (Å): 4.218 4.218 4.137
angles (deg): 90.00 90.00 90.00
Space group P4/mmm (No. 123)
Asymmetric unit:
Cd1 0.000 0.000 0.000 [1 per cell]
B1 0.500 0.500 0.500 [1 per cell]
Pd1 0.000 0.500 0.500 [2 per cell]
Rh1 0.500 0.500 0.000 [1 per cell]

=====

The following is a DFT calculation (PBE-GGA) of crystalline Cd2SiBPd6 at its relaxed geometry.

volume	16.00	Å³/atom
energy	-0.35857	Ry per atom
formation energy from raw total energies	-35.7	kJ/mol of atoms

a b c (Å): 5.627 5.814 5.819
angles (deg): 71.91 72.45 64.35
Space group P-1 (No. 2)
Asymmetric unit:
Cd1 0.212 0.307 0.293 [2 per cell]
Si1 0.500 0.500 0.500 [1 per cell]
B1 0.000 0.000 0.000 [1 per cell]
Pd1 0.153 0.845 0.322 [2 per cell]
Pd2 0.271 0.666 0.862 [2 per cell]
Pd3 0.305 0.169 0.812 [2 per cell]

=====

The following is a DFT calculation (PBE-GGA) of crystalline Sm2CdBPd6 at its relaxed geometry.

energy of formation from the pure elements	-0.631	eV/atom
volume	18.72	Å³/atom
energy	-0.40055	Ry per atom

a b c (Å): 5.7829 5.7829 6.4636
angles (deg): 90.00 90.00 120.00
Space group P-3m1 (No. 164)
Asymmetric unit:
Sm1 0.3333 0.6667 0.1882 [2 per cell]
Cd1 0.0000 0.0000 0.0000 [1 per cell]
B1 0.0000 0.0000 0.5000 [1 per cell]
Pd1 0.1769 0.3538 0.6802 [6 per cell]

=====

- Which value of energy does entry 8 give?
  -0.36159 Ry per atom